This record from Alexandria via LeMat-Bulk describes crystalline Ta2HgMoH at its relaxed geometry. The functional is PBE-GGA. Values from VASP.

```
&SYSTEM
  ibrav = 0, nat = 5, ntyp = 4
/
ATOMIC_SPECIES
Ta 180.95 Ta.upf
Hg 200.59 Hg.upf
Mo 95.94 Mo.upf
H 1.01 H.upf
ATOMIC_POSITIONS crystal
Ta 0.000 0.500 0.000
Ta 0.500 0.000 0.000
Hg 0.000 0.000 0.500
Mo 0.000 0.000 0.000
H 0.500 0.500 0.500
CELL_PARAMETERS angstrom
4.777 0.000 0.000
0.000 4.777 0.000
0.000 0.000 5.377
```

DFT total energy: -5.7632 eV per atom
DOS(E_F): 0.969 states/eV/atom
Space group: No. 123
ρ: 8.92 g/cm³